Record 1
Material: Pr3NdTm3
Method: DFT, PBE
State: optimized geometry

Formation energy   0.13 eV/atom
Calculated volume   1438.1 Å³/cell
Electronic total energy   -4.5139 eV per atom

```
data_Pr3NdTm3
_chemical_formula_sum 'Pr18 Nd6 Tm18'
_space_group_name_H-M_alt 'R -3'
_space_group_IT_number 148
_space_group_name_Hall '-R 3'
_cell_length_a 9.4162
_cell_length_b 9.4162
_cell_length_c 18.7294
_cell_angle_alpha 90.00
_cell_angle_beta 90.00
_cell_angle_gamma 120.00
loop_
_atom_site_label
_atom_site_fract_x
_atom_site_fract_y
_atom_site_fract_z
Pr1 0.0493 0.8076 0.0773
Nd1 0.0000 0.0000 0.4086
Tm1 0.0492 0.8140 0.2602
```

***

Record 2
Material: Pr3Nd3Tm
Method: DFT, PBE
State: optimized geometry

Formation energy   0.15 eV/atom
Calculated volume   1010.6 Å³/cell
Electronic total energy   -4.5774 eV per atom

```
data_Pr3Nd3Tm
_chemical_formula_sum 'Pr12 Nd12 Tm4'
_space_group_name_H-M_alt 'C 1 2/m 1'
_space_group_IT_number 12
_cell_length_a 11.826
_cell_length_b 11.622
_cell_length_c 7.352
_cell_angle_alpha 90.00
_cell_angle_beta 90.00
_cell_angle_gamma 90.00
loop_
_space_group_symop_operation_xyz
'x,y,z'
'-x,-y,-z'
'-x,y,-z'
'x,-y,z'
'x+1/2,y+1/2,z'
'-x+1/2,-y+1/2,-z'
'-x+1/2,y+1/2,-z'
'x+1/2,-y+1/2,z'
loop_
_atom_site_label
_atom_site_fract_x
_atom_site_fract_y
_atom_site_fract_z
Pr1 0.000 0.198 0.000
Pr2 0.000 0.215 0.500
Pr3 0.219 0.000 0.499
Nd1 0.000 0.500 0.247
Nd2 0.250 0.250 0.247
Tm1 0.231 0.000 0.001
```

***

Record 3
Material: Pr3Nd2Tm3
Method: DFT, PBE
State: optimized geometry

Formation energy   0.02 eV/atom
Calculated volume   536.8 Å³/cell
Electronic total energy   -4.6403 eV per atom

```
data_Pr3Nd2Tm3
_chemical_formula_sum 'Pr6 Nd4 Tm6'
_space_group_name_H-M_alt 'I m m m'
_space_group_IT_number 71
_space_group_name_Hall '-I 2 2'
_cell_length_a 5.090
_cell_length_b 5.144
_cell_length_c 20.500
_cell_angle_alpha 90.00
_cell_angle_beta 90.00
_cell_angle_gamma 90.00
loop_
_atom_site_label
_atom_site_fract_x
_atom_site_fract_y
_atom_site_fract_z
Pr1 0.000 0.000 0.000
Pr2 0.000 0.500 0.123
Nd1 0.000 0.000 0.249
Tm1 0.000 0.000 0.500
Tm2 0.000 0.500 0.376
```

***

calculated volume of number 3 (Pr3Nd2Tm3)? 536.8 Å³/cell